Record 1
Compound: Tm2Ga12Cu
Source: Alexandria via LeMat-Bulk
Functional: PBE
Structure: relaxed

Lattice parameters (Å, degrees): 6.1170 6.1170 15.0674 90.00 90.00 90.00
Closest atoms and distances in Å follow each position.
Sites, in units of the cell vectors:
Ga1 0.5000 0.5000 0.6553  5 Ga 2.42-2.62
Ga2 0.3351 0.8351 0.4294  4 Ga 2.59-2.85
Tm1 0.5000 0.0000 0.7564  14 Ga 3.14-3.42
Ga3 0.8351 0.6649 0.4294  4 Ga 2.59-2.85
Ga4 0.0000 0.0000 0.8158  5 Ga 2.42-2.60
Ga5 0.2505 0.7505 0.9122  2 Cu 2.53-2.54, 3 Ga 2.60-2.65
Ga6 0.0000 0.0000 0.6553  5 Ga 2.42-2.62
Ga7 0.0000 0.0000 0.1842  5 Ga 2.42-2.60
Ga8 0.1649 0.6649 0.5706  4 Ga 2.59-2.85
Cu1 0.5000 0.0000 0.0000  8 Ga 2.53-2.54
Ga9 0.5000 0.5000 0.3447  5 Ga 2.42-2.62
Ga10 0.3351 0.1649 0.5706  4 Ga 2.59-2.85
Ga11 0.6649 0.1649 0.4294  4 Ga 2.59-2.85
Ga12 0.5000 0.5000 0.8158  5 Ga 2.42-2.60
Ga13 0.2495 0.7495 0.0878  2 Cu 2.53-2.54, 3 Ga 2.60-2.65
Ga14 0.5000 0.5000 0.1842  5 Ga 2.42-2.60
Ga15 0.7505 0.2505 0.0878  2 Cu 2.53-2.54, 3 Ga 2.60-2.65
Ga16 0.7495 0.7505 0.0878  2 Cu 2.53-2.54, 3 Ga 2.60-2.65
Ga17 0.1649 0.3351 0.4294  4 Ga 2.59-2.85
Ga18 0.8351 0.3351 0.5706  4 Ga 2.59-2.85
Ga19 0.6649 0.8351 0.5706  4 Ga 2.59-2.85
Ga20 0.7505 0.7495 0.9122  2 Cu 2.53-2.54, 3 Ga 2.60-2.65
Ga21 0.2505 0.2495 0.0878  2 Cu 2.53-2.54, 3 Ga 2.60-2.65
Tm2 0.0000 0.5000 0.7564  14 Ga 3.14-3.42
Ga22 0.2495 0.2505 0.9122  2 Cu 2.53-2.54, 3 Ga 2.60-2.65
Cu2 0.0000 0.5000 0.0000  8 Ga 2.53-2.54
Ga23 0.7495 0.2495 0.9122  2 Cu 2.53-2.54, 3 Ga 2.60-2.65
Tm3 0.0000 0.5000 0.2436  14 Ga 3.14-3.42
Tm4 0.5000 0.0000 0.2436  14 Ga 3.14-3.42
Ga24 0.0000 0.0000 0.3447  5 Ga 2.42-2.62

Record 2
Compound: La2AgBP
Source: Alexandria via LeMat-Bulk
Functional: PBE
Structure: relaxed

Lattice parameters (Å, degrees): 5.3877 3.8640 5.3877 90.00 90.00 90.00
Closest atoms and distances in Å follow each position.
Sites, in units of the cell vectors:
La1 0.0000 0.0000 0.5000  2 B 2.69
B1 0.0000 0.0000 0.0000  2 P 1.93
Ag1 0.5000 0.5000 0.5000  8 La 3.32
P1 0.0000 0.5000 0.0000  2 B 1.93
La2 0.5000 0.0000 0.0000  2 B 2.69

Record 3
Compound: Cs2LiGa
Source: Alexandria via LeMat-Bulk
Functional: PBE
Structure: relaxed

Calculated values
Its polymorph energy (0 for the lowest one) is 146 meV/atom.

Lattice parameters (Å, degrees): 6.6539 6.6539 6.6539 60.00 60.00 60.00
Closest atoms and distances in Å follow each position.
Sites, in units of the cell vectors:
Cs1 0.7500 0.7500 0.7500  4 Ga 4.07, 4 Li 4.07
Ga1 0.5000 0.5000 0.5000  8 Cs 4.07
Li1 0.0000 0.0000 0.0000  8 Cs 4.07
Cs2 0.2500 0.2500 0.2500  4 Li 4.07, 4 Ga 4.07

no.,raw total energy (eV per formula unit)
1,-53.3
2,-26.1
3,-5.4